A geometry-optimized NdGaH structure. Source: the Alexandria database, functional PBE.

Summary:
Energy above the most stable polymorph in this dataset (eV per atom): 0.2024
Space group: I4mm, No. 107

Unit cell a=4.5794 b=4.5794 c=4.5794 alpha=124.04 beta=124.04 gamma=83.14
Atoms (fractional coordinates):
Nd1 0.0000 0.0000 0.0000
Ga1 0.4321 0.4321 0.0000
H1 0.6745 0.6745 0.0000

***

A geometry-optimized CsBa2TlMo structure. Source: the Alexandria database, functional PBE.

Summary:
Energy of formation (meV/atom): 736
Space group: P4/mmm, No. 123

Unit cell a=6.8333 b=6.8333 c=5.5915 alpha=90.00 beta=90.00 gamma=90.00
Atoms (fractional coordinates):
Cs1 0.0000 0.0000 0.0000
Ba1 0.0000 0.5000 0.5000
Ba2 0.5000 0.0000 0.5000
Tl1 0.5000 0.5000 0.5000
Mo1 0.5000 0.5000 0.0000

***

A geometry-optimized Tb4ZnAg3 structure. Source: the Alexandria database, functional PBE.

Summary:
Energy above the most stable polymorph in this dataset (eV per atom): 0.0502
Energy of formation (meV/atom): -275
Space group: Pmm2, No. 25

Unit cell a=3.6732 b=4.7676 c=11.2534 alpha=90.00 beta=90.00 gamma=90.00
Atoms (fractional coordinates):
Tb1 0.0000 0.0000 0.0000
Tb2 0.0000 0.5000 0.2915
Tb3 0.5000 0.0000 0.4960
Tb4 0.5000 0.5000 0.7904
Zn1 0.5000 0.0000 0.2221
Ag1 0.0000 0.0000 0.7237
Ag2 0.0000 0.5000 0.5670
Ag3 0.5000 0.5000 0.0696

***

A geometry-optimized Ca3Cd4Ag2 structure. Source: the Alexandria database, functional PBE.

Summary:
Energy above the most stable polymorph in this dataset (eV per atom): 0.0489
Energy of formation (meV/atom): -263
Space group: P-1, No. 2

Unit cell a=4.9690 b=6.0073 c=9.0110 alpha=104.94 beta=90.09 gamma=114.36
Atoms (fractional coordinates):
Ca1 0.0000 0.0000 0.0000
Ca2 0.3956 0.7896 0.6316
Ca3 0.6044 0.2104 0.3684
Cd1 0.1005 0.1996 0.6413
Cd2 0.3040 0.6072 0.9459
Cd3 0.6960 0.3928 0.0541
Cd4 0.8995 0.8004 0.3587
Ag1 0.2689 0.5390 0.2574
Ag2 0.7311 0.4610 0.7426

***

A geometry-optimized ReP2Pt structure. Source: the Alexandria database, functional PBE.

Summary:
Energy above the most stable polymorph in this dataset (eV per atom): 0.2252
Energy of formation (meV/atom): 6
Space group: P4/mmm, No. 123

Unit cell a=3.0677 b=3.0677 c=5.9144 alpha=90.00 beta=90.00 gamma=90.00
Atoms (fractional coordinates):
Re1 0.0000 0.0000 0.0000
P1 0.5000 0.5000 0.2345
P2 0.5000 0.5000 0.7655
Pt1 0.0000 0.0000 0.5000

***

A geometry-optimized AgAsSe2N structure. Source: the Alexandria database, functional PBE.

Summary:
Energy above the most stable polymorph in this dataset (eV per atom): 0.9233
Formation energy from raw total energies (eV/atom): 1.740
Space group: P4/mmm, No. 123

Unit cell a=5.1128 b=5.1128 c=5.1461 alpha=90.00 beta=90.00 gamma=90.00
Atoms (fractional coordinates):
Ag1 0.0000 0.0000 0.0000
As1 0.0000 0.0000 0.5000
Se1 0.0000 0.5000 0.0000
Se2 0.5000 0.0000 0.0000
N1 0.5000 0.5000 0.5000

***

Number 1: energy -3.8339 eV/atom. Number 2: energy -2.8435 eV/atom. Number 3: energy -3.8183 eV/atom. Number 4: energy -1.9703 eV/atom. Number 5: energy -7.3215 eV/atom. Number 6: energy -2.8191 eV/atom.